No. 1
# Tl2AgI PBE relaxed
# E above lowest polymorph in eV per formula unit: 0.026
# Total DFT energy (no corrections) in eV per atom: -2.297
# Formation energy without anion corrections in eV per atom: -0.013
# Total moment in μB/atom: 0.000
# DOS(E_F) in states/eV per cell: 1.8
data_Tl2AgI
_symmetry_space_group_name_H-M 'F m -3 m'
_symmetry_Int_Tables_number 225
_symmetry_space_group_name_Hall '-F 4 2 3'
_cell_length_a 8.077
_cell_length_b 8.077
_cell_length_c 8.077
_cell_angle_alpha 90.00
_cell_angle_beta 90.00
_cell_angle_gamma 90.00
loop_
_atom_site_label
_atom_site_type_symbol
_atom_site_fract_x
_atom_site_fract_y
_atom_site_fract_z
Tl1 Tl 0.250 0.250 0.250
Ag1 Ag 0.000 0.000 0.000
I1 I 0.000 0.000 0.500

No. 2
# Y11Tl9Pd4 PBE relaxed
# Total DFT energy (no corrections) in eV per atom: -5.291
# Total moment in μB/atom: 0.000
# DOS(E_F) in states/eV per cell: 33.3
data_Y11Tl9Pd4
_symmetry_space_group_name_H-M 'C m m m'
_symmetry_Int_Tables_number 65
_symmetry_space_group_name_Hall '-C 2 2'
_cell_length_a 14.775
_cell_length_b 22.215
_cell_length_c 3.717
_cell_angle_alpha 90.00
_cell_angle_beta 90.00
_cell_angle_gamma 90.00
loop_
_atom_site_label
_atom_site_type_symbol
_atom_site_fract_x
_atom_site_fract_y
_atom_site_fract_z
Y1 Y 0.000 0.000 0.000
Y2 Y 0.000 0.162 0.000
Y3 Y 0.000 0.372 0.000
Y4 Y 0.193 0.500 0.000
Y5 Y 0.245 0.170 0.000
Tl1 Tl 0.000 0.500 0.500
Tl2 Tl 0.109 0.261 0.500
Tl3 Tl 0.142 0.074 0.500
Pd1 Pd 0.151 0.399 0.500

No. 3
# Ca2TlV PBE relaxed
# E above lowest polymorph in eV per formula unit: 1.232
# Total DFT energy (no corrections) in eV per atom: -3.374
# Total moment in μB/atom: 0.911
# DOS(E_F) in states/eV per cell: 10.1
data_Ca2TlV
_symmetry_space_group_name_H-M 'I -4 2 d'
_symmetry_Int_Tables_number 122
_symmetry_space_group_name_Hall 'I -4 2bw'
_cell_length_a 8.535
_cell_length_b 8.535
_cell_length_c 6.347
_cell_angle_alpha 90.00
_cell_angle_beta 90.00
_cell_angle_gamma 90.00
loop_
_atom_site_label
_atom_site_type_symbol
_atom_site_fract_x
_atom_site_fract_y
_atom_site_fract_z
Ca1 Ca 0.244 0.250 0.125
Tl1 Tl 0.000 0.000 0.500
V1 V 0.000 0.000 0.000